# 1
VASP calculation (PBE) on an optimized crystal structure of Zr2CrMo.

energy relative to the lowest polymorph listed for this composition	204	meV/atom
SG	No. 119
total magnetization	4.7	μB per cell
DFT formation energy	0.288	eV/atom

Cell: 3.9471 3.9471 9.6232 Å, 90.00 90.00 90.00°
Atoms (fractional coordinates):
Zr (0.0000, 0.0000, 0.0000)
Zr (0.0000, 0.5000, 0.2500)
Zr (0.5000, 0.0000, 0.7500)
Zr (0.5000, 0.5000, 0.5000)
Cr (0.0000, 0.5000, 0.7500)
Cr (0.5000, 0.0000, 0.2500)
Mo (0.0000, 0.0000, 0.5000)
Mo (0.5000, 0.5000, 0.0000)



# 2
VASP calculation (PBE) on an optimized crystal structure of ZrCrMo.

energy relative to the lowest polymorph listed for this composition	0	meV/atom
SG	No. 74
total magnetization	0.0	μB per cell
DFT formation energy	-0.080	eV/atom

Cell: 5.1921 5.2919 7.3596 Å, 90.00 90.00 90.00°
Atoms (fractional coordinates):
Zr (0.0000, 0.2500, 0.1230)
Zr (0.0000, 0.7500, 0.8770)
Zr (0.5000, 0.2500, 0.3770)
Zr (0.5000, 0.7500, 0.6230)
Cr (0.2500, 0.2500, 0.7500)
Cr (0.2500, 0.7500, 0.2500)
Cr (0.7500, 0.2500, 0.7500)
Cr (0.7500, 0.7500, 0.2500)
Mo (0.0000, 0.0000, 0.5000)
Mo (0.0000, 0.5000, 0.5000)
Mo (0.5000, 0.0000, 0.0000)
Mo (0.5000, 0.5000, 0.0000)



# 3
VASP calculation (PBE) on an optimized crystal structure of ZrCr2Mo.

energy relative to the lowest polymorph listed for this composition	52	meV/atom
SG	No. 44
total magnetization	0.0	μB per cell
DFT formation energy	0.181	eV/atom

Cell: 3.0990 4.4638 8.7897 Å, 90.00 90.00 90.00°
Atoms (fractional coordinates):
Zr (0.0000, 0.0000, 0.0000)
Zr (0.5000, 0.5000, 0.5000)
Cr (0.0000, 0.0000, 0.4917)
Cr (0.0000, 0.5000, 0.7634)
Cr (0.5000, 0.0000, 0.2634)
Cr (0.5000, 0.5000, 0.9917)
Mo (0.0000, 0.5000, 0.2324)
Mo (0.5000, 0.0000, 0.7324)



# 4
VASP calculation (PBE) on an optimized crystal structure of ZrCr2Mo.

energy relative to the lowest polymorph listed for this composition	46	meV/atom
SG	No. 99
total magnetization	0.6	μB per cell
DFT formation energy	0.175	eV/atom

Cell: 3.0604 3.0604 6.5581 Å, 90.00 90.00 90.00°
Atoms (fractional coordinates):
Zr (0.0000, 0.0000, 0.0000)
Cr (0.0000, 0.0000, 0.4809)
Cr (0.5000, 0.5000, 0.2743)
Mo (0.5000, 0.5000, 0.7029)



Please write out number 1 again, unchanged.
VASP calculation (PBE) on an optimized crystal structure of Zr2CrMo.

energy relative to the lowest polymorph listed for this composition	204	meV/atom
SG	No. 119
total magnetization	4.7	μB per cell
DFT formation energy	0.288	eV/atom

Cell: 3.9471 3.9471 9.6232 Å, 90.00 90.00 90.00°
Atoms (fractional coordinates):
Zr (0.0000, 0.0000, 0.0000)
Zr (0.0000, 0.5000, 0.2500)
Zr (0.5000, 0.0000, 0.7500)
Zr (0.5000, 0.5000, 0.5000)
Cr (0.0000, 0.5000, 0.7500)
Cr (0.5000, 0.0000, 0.2500)
Mo (0.0000, 0.0000, 0.5000)
Mo (0.5000, 0.5000, 0.0000)